Below is MgTl2Os after structural relaxation, with properties calculated at the PBE level.

Lattice parameters (Å, degrees): 3.6279 3.6279 6.1710 90.00 90.00 90.00
Space group P4/mmm (No. 123)
Unique sites:
Mg (0.0000, 0.0000, 0.0000) [1 per cell]
Tl (0.5000, 0.5000, 0.2602) [2 per cell]
Os (0.0000, 0.0000, 0.5000) [1 per cell]

Values from the calculation:
Size of the total moment: 0.4 μB per formula unit
E above lowest polymorph: 172 meV/atom
Energy of formation from the pure elements: 0.641 eV/atom